# Cd2ReNiOs

A geometry-optimized Cd2ReNiOs structure (GGA-PBE, Alexandria via LeMat-Bulk).

a = 5.144 Å, b = 5.144 Å, c = 4.410 Å
α = 90.00°, β = 90.00°, γ = 90.00°
Fractional positions:
Cd  0.000  0.500  0.000
Cd  0.500  0.000  0.000
Re  0.000  0.000  0.000
Ni  0.000  0.000  0.500
Os  0.500  0.500  0.500

total DFT energy (no corrections): -20.46 eV/cell
magnetization: 3.889 μB per formula unit
energy relative to the elements: 2.165 eV per atom
N(E_F): 4.27 states/eV/cell